Compound: Fe2NiS2
Source: Alexandria
Functional: PBE
Structure: relaxed

Results
**Total magnetic moment**: 0.000 μB per cell
**E above lowest polymorph**: 12 meV per atom
**Raw formation energy**: 3.3 kJ/mol of atoms

a b c (Å): 3.636 3.636 9.913
angles (deg): 90.00 90.00 90.00
Space group I4/mmm (No. 139)
Asymmetric unit:
Fe: 0.000 0.500 0.250 [4 per cell]
Ni: 0.000 0.000 0.000 [2 per cell]
S: 0.000 0.000 0.367 [4 per cell]